1.
# Co2PRh

Co2PRh after structural relaxation (GGA-PBE, Alexandria via LeMat-Bulk).

Results
The value obtained for the formation energy from the elements is -0.31 eV per formula unit.

abc: 2.6810 2.6810 22.7788
angles: 90.00 90.00 120.00
Space group R-3m (No. 166, hexagonal axes)
One atom of each set of equivalent atoms:
Co  0.0000  0.0000  0.2393 x6
P  0.0000  0.0000  0.5000 x3
Rh  0.0000  0.0000  0.0000 x3



2.
# ZnSiMo

ZnSiMo after structural relaxation (GGA-PBE, Alexandria via LeMat-Bulk).

Results
The calculation puts the polymorph energy (0 for the lowest one) at 179 meV per atom. The value obtained for the raw formation energy is 190 meV per atom.

abc: 2.8357 2.8357 6.4715
angles: 90.00 90.00 120.00
Space group P3m1 (No. 156)
One atom of each set of equivalent atoms:
Zn  0.0000  0.0000  0.0000 x1
Si  0.3333  0.6667  0.6679 x1
Mo  0.6667  0.3333  0.3468 x1



3.
# NpSI

NpSI after structural relaxation (GGA-PBE, Alexandria via LeMat-Bulk).

Results
The value obtained for the raw formation energy is -1066 meV per atom.

abc: 3.937 3.938 13.223
angles: 90.00 97.98 90.00
Space group P2_1/m (No. 11)
One atom of each set of equivalent atoms:
Np  0.196  0.250  0.383 x2
S  0.295  0.250  0.597 x2
I  0.093  0.250  0.163 x2



4.
# Pu4Si

Pu4Si after structural relaxation (GGA-PBE, Alexandria via LeMat-Bulk).

Results
The calculation puts the polymorph energy (0 for the lowest one) at 554 meV per atom. The value obtained for the raw formation energy is 596 meV per atom.

abc: 5.406 5.406 5.406
angles: 90.00 90.00 90.00
Space group Pm-3m (No. 221)
One atom of each set of equivalent atoms:
Pu  0.000  0.000  0.000 x1
Pu  0.000  0.500  0.500 x3
Si  0.500  0.500  0.500 x1



5.
# SrZr2Zn

SrZr2Zn after structural relaxation (GGA-PBE, Alexandria via LeMat-Bulk).

Results
The value obtained for the formation energy from the elements is 0.19 eV per formula unit.

abc: 3.442 3.442 8.710
angles: 90.00 90.00 90.00
Space group P4mm (No. 99)
One atom of each set of equivalent atoms:
Sr  0.000  0.000  0.000 x1
Zr  0.000  0.000  0.434 x1
Zr  0.500  0.500  0.658 x1
Zn  0.500  0.500  0.257 x1



6.
# Hf3CoH

Hf3CoH after structural relaxation (GGA-PBE, Alexandria via LeMat-Bulk).

Results
The calculation puts the polymorph energy (0 for the lowest one) at 287 meV per atom.

abc: 4.276 4.276 4.276
angles: 90.00 90.00 90.00
Space group Pm-3m (No. 221)
One atom of each set of equivalent atoms:
Hf  0.000  0.000  0.500 x3
Co  0.500  0.500  0.500 x1
H  0.000  0.000  0.000 x1



7.
# NaPmNd2

NaPmNd2 after structural relaxation (GGA-PBE, Alexandria via LeMat-Bulk).

Results
The calculation puts the polymorph energy (0 for the lowest one) at 0 meV per atom. The value obtained for the formation energy from the elements is 0.39 eV per formula unit.

abc: 3.591 3.591 10.973
angles: 90.00 90.00 90.00
Space group P4/mmm (No. 123)
One atom of each set of equivalent atoms:
Na  0.000  0.000  0.000 x1
Pm  0.000  0.000  0.500 x1
Nd  0.500  0.500  0.266 x2



8.
# BaGaAs2

BaGaAs2 after structural relaxation (GGA-PBE, Alexandria via LeMat-Bulk).

Results
The value obtained for the formation energy from the elements is -2.06 eV per formula unit.

abc: 8.797 6.528 12.447
angles: 90.00 131.15 90.00
Space group P2_1/c (No. 14)
One atom of each set of equivalent atoms:
Ba  0.174  0.201  0.446 x4
Ga  0.344  0.679  0.637 x4
As  0.022  0.718  0.395 x4
As  0.372  0.096  0.284 x4